No. 1
# RbDy2Th

An optimized crystal structure of RbDy2Th (PBE, Alexandria).

energy of formation from the pure elements	0.28	eV/atom

Geometry as POSCAR:
```
RbDy2Th
1.0
1.8195 1.0505 13.2530
-1.8195 1.0505 13.2530
0.0000 -2.1010 13.2530
Rb Dy Th
1 2 1
Direct
0.0000 0.0000 0.0000
0.0974 0.0974 0.0974
0.9026 0.9026 0.9026
0.5000 0.5000 0.5000
```

---

No. 2
# PrFeCo2

An optimized crystal structure of PrFeCo2 (PBE, Alexandria).

energy of formation from the pure elements	-0.01	eV/atom

Geometry as POSCAR:
```
PrFeCo2
1.0
2.0216 1.1672 4.9919
-2.0216 1.1672 4.9919
0.0000 -2.3343 4.9919
Pr Fe Co
1 1 2
Direct
0.0000 0.0000 0.0000
0.5000 0.5000 0.5000
0.1928 0.1928 0.1928
0.8072 0.8072 0.8072
```

---

No. 3
# MnTl2Cl

An optimized crystal structure of MnTl2Cl (PBE, Alexandria).

raw formation energy	209	meV per atom
excess energy over the best structure of this formula in the dataset	327	meV/atom

Geometry as POSCAR:
```
MnTl2Cl
1.0
-2.2713 2.2713 10.8362
2.2713 -2.2713 10.8362
2.2713 2.2713 -10.8362
Mn Tl Cl
2 4 2
Direct
0.0000 0.0000 0.0000
0.7500 0.2500 0.5000
0.1275 0.6250 0.0025
0.3750 0.3775 0.5025
0.6225 0.1250 0.9975
0.8750 0.8725 0.4975
0.2500 0.7500 0.5000
0.5000 0.5000 0.0000
```

---

No. 4
# NaScSn2

An optimized crystal structure of NaScSn2 (PBE, Alexandria).

energy of formation from the pure elements	-0.10	eV/atom

Geometry as POSCAR:
```
NaScSn2
1.0
2.4055 1.3888 5.6841
-2.4055 1.3888 5.6841
0.0000 -2.7776 5.6841
Na Sc Sn
1 1 2
Direct
0.0000 0.0000 0.0000
0.1908 0.1908 0.1908
0.5841 0.5841 0.5841
0.7782 0.7782 0.7782
```

---

No. 5
# SnSbP

An optimized crystal structure of SnSbP (PBE, Alexandria).

raw formation energy	81	meV per atom
excess energy over the best structure of this formula in the dataset	25	meV/atom

Geometry as POSCAR:
```
SnSbP
1.0
4.3402 0.0000 0.0000
-0.6087 5.9804 0.0000
-1.3385 -3.0982 6.1678
Sn Sb P
2 2 2
Direct
0.0000 0.0000 0.0000
0.3022 0.8453 0.6077
0.6787 0.6138 0.2829
0.9558 0.4552 0.8859
0.4138 0.2827 0.5925
0.5720 0.1799 0.2841
```

---

No. 6
# SrCaRu2

An optimized crystal structure of SrCaRu2 (PBE, Alexandria).

energy of formation from the pure elements	0.72	eV/atom
excess energy over the best structure of this formula in the dataset	418	meV/atom

Geometry as POSCAR:
```
SrCaRu2
1.0
0.0000 3.5188 3.5188
3.5188 0.0000 3.5188
3.5188 3.5188 0.0000
Sr Ca Ru
1 1 2
Direct
0.0000 0.0000 0.0000
0.5000 0.5000 0.5000
0.2500 0.2500 0.2500
0.7500 0.7500 0.7500
```